Material: Pm2NdYEr5
Method: DFT, PBE
State: optimized geometry

a = 8.728 Å, b = 8.728 Å, c = 9.842 Å
α = 116.32°, β = 116.32°, γ = 90.00°
Atoms (fractional coordinates):
Nd 0.750 0.750 0.500
Pm 0.616 0.116 0.000
Er 0.153 0.074 0.726
Er 0.847 0.926 0.274
Y 0.750 0.250 0.500
Y 0.250 0.750 0.500
Er 0.347 0.847 0.274
Er 0.426 0.347 0.274
Er 0.000 0.000 0.000
Er 0.926 0.426 0.274
Nd 0.250 0.250 0.500
Er 0.074 0.574 0.726
Pm 0.116 0.384 0.000
Er 0.574 0.653 0.726
Er 0.500 0.500 0.000
Pm 0.384 0.884 0.000
Pm 0.884 0.616 0.000
Er 0.653 0.153 0.726

Calculated values
energy relative to the elements	0.264	eV/atom
size of the total moment	0.000	μB/atom